Entry 1:
The following is a DFT calculation (PBE-GGA) of a geometry-optimized La2Y3PuTe6 structure.

a = 9.963 Å, b = 9.963 Å, c = 8.947 Å
α = 103.36°, β = 103.36°, γ = 25.66°
Fractional coordinates of all 12 atoms:
La 0.166 0.166 0.333
La 0.834 0.834 0.667
Y 0.169 0.169 0.836
Y 0.500 0.500 0.500
Y 0.831 0.831 0.164
Pu 0.500 0.500 0.000
Te 0.005 0.005 0.749
Te 0.333 0.333 0.926
Te 0.337 0.337 0.407
Te 0.663 0.663 0.593
Te 0.667 0.667 0.074
Te 0.995 0.995 0.251

M_tot in μB/cell: 6.1
Uncorrected formation energy in eV/atom: -1.385
Fermi-level density of states in states/eV/f.u.: 14.2
Space group: C2/m, No. 12

Entry 2:
The following is a DFT calculation (PBE-GGA) of a geometry-optimized BaSc3Ge structure.

a = 5.281 Å, b = 5.281 Å, c = 5.281 Å
α = 90.00°, β = 90.00°, γ = 90.00°
Fractional coordinates of all 5 atoms:
Ba 0.000 0.000 0.000
Sc 0.000 0.000 0.500
Sc 0.000 0.500 0.000
Sc 0.500 0.000 0.000
Ge 0.500 0.500 0.500

M_tot in μB/cell: 0.0
Fermi-level density of states in states/eV/f.u.: 5.5
ΔH_f (0 K) in eV/f.u.: 6.59
Space group: Pm-3m, No. 221

Entry 3:
The following is a DFT calculation (PBE-GGA) of a geometry-optimized CaHfMgTi2 structure.

a = 4.876 Å, b = 4.876 Å, c = 5.613 Å
α = 90.00°, β = 90.00°, γ = 90.00°
Fractional coordinates of all 5 atoms:
Ca 0.000 0.000 0.000
Hf 0.500 0.500 0.500
Mg 0.500 0.500 0.000
Ti 0.000 0.500 0.500
Ti 0.500 0.000 0.500

M_tot in μB/cell: 0.0
Fermi-level density of states in states/eV/f.u.: 4.4
ΔH_f (0 K) in eV/f.u.: 3.82
Space group: P4/mmm, No. 123

Entry 4:
The following is a DFT calculation (PBE-GGA) of a geometry-optimized MgZnTe2 structure.

a = 5.236 Å, b = 5.236 Å, c = 5.236 Å
α = 60.00°, β = 60.00°, γ = 60.00°
Fractional coordinates of all 4 atoms:
Mg 0.000 0.000 0.000
Zn 0.750 0.750 0.750
Te 0.250 0.250 0.250
Te 0.500 0.500 0.500

M_tot in μB/cell: 0.0
Uncorrected formation energy in eV/atom: 0.101
Fermi-level density of states in states/eV/f.u.: 1.9
Space group: F-43m, No. 216

Question: What is the Fermi-level density of states in the first record?
Answer: 14.2 states/eV/f.u.